1.
# SrTeIO2 | the Alexandria database | GGA-PBE | relaxed
# DOS(E_F)   0.50 states/eV/f.u.
# Energy relative to the elements, uncorrected   -386.7 kJ/mol of formula units
# Mass density   5217 kg/m3
# Space group   No. 123
data_SrTeIO2
_cell_length_a 4.424
_cell_length_b 4.424
_cell_length_c 6.083
_cell_angle_alpha 90.00
_cell_angle_beta 90.00
_cell_angle_gamma 90.00
_space_group_name_H-M_alt 'P 1'
_space_group_IT_number 1
loop_
_space_group_symop_operation_xyz
'x,y,z'
loop_
_atom_site_label
_atom_site_fract_x
_atom_site_fract_y
_atom_site_fract_z
O1 0.000 0.500 0.000
O2 0.500 0.000 0.000
Sr1 0.500 0.500 0.500
Te1 0.000 0.000 0.000
I1 0.000 0.000 0.500

2.
# BaSmGa2 | the Alexandria database | GGA-PBE | relaxed
# DOS(E_F)   4.38 states/eV/f.u.
# Mass density   5615 kg/m3
# E   -3.3572 eV/atom
# Space group   No. 166
data_BaSmGa2
_cell_length_a 3.932
_cell_length_b 3.932
_cell_length_c 9.706
_cell_angle_alpha 78.31
_cell_angle_beta 78.31
_cell_angle_gamma 60.00
_space_group_name_H-M_alt 'P 1'
_space_group_IT_number 1
loop_
_space_group_symop_operation_xyz
'x,y,z'
loop_
_atom_site_label
_atom_site_fract_x
_atom_site_fract_y
_atom_site_fract_z
Sm1 0.000 0.000 0.000
Ga1 0.258 0.258 0.226
Ga2 0.742 0.742 0.774
Ba1 0.500 0.500 0.500

3.
# Mg4Al2Cd5 | the Alexandria database | GGA-PBE | relaxed
# DOS(E_F)   3.64 states/eV/f.u.
# Mass density   5037 kg/m3
# E   -1.7049 eV/atom
# Space group   No. 10
data_Mg4Al2Cd5
_cell_length_a 3.165
_cell_length_b 7.557
_cell_length_c 9.849
_cell_angle_alpha 93.54
_cell_angle_beta 90.00
_cell_angle_gamma 90.00
_space_group_name_H-M_alt 'P 1'
_space_group_IT_number 1
loop_
_space_group_symop_operation_xyz
'x,y,z'
loop_
_atom_site_label
_atom_site_fract_x
_atom_site_fract_y
_atom_site_fract_z
Cd1 0.000 0.564 0.303
Al1 0.000 0.937 0.366
Cd2 0.000 0.820 0.841
Cd3 0.000 0.500 0.000
Mg1 0.500 0.829 0.114
Mg2 0.500 0.278 0.440
Mg3 0.500 0.171 0.886
Cd4 0.000 0.436 0.697
Mg4 0.500 0.722 0.560
Al2 0.000 0.063 0.634
Cd5 0.000 0.180 0.159

4.
# Tb2PmSe | the Alexandria database | GGA-PBE | relaxed
# DOS(E_F)   4.79 states/eV/f.u.
# Energy relative to the elements, uncorrected   -222.9 kJ/mol of formula units
# Mass density   7091 kg/m3
# Space group   No. 166
data_Tb2PmSe
_cell_length_a 3.746
_cell_length_b 3.746
_cell_length_c 10.663
_cell_angle_alpha 79.88
_cell_angle_beta 79.88
_cell_angle_gamma 60.00
_space_group_name_H-M_alt 'P 1'
_space_group_IT_number 1
loop_
_space_group_symop_operation_xyz
'x,y,z'
loop_
_atom_site_label
_atom_site_fract_x
_atom_site_fract_y
_atom_site_fract_z
Se1 0.500 0.500 0.500
Tb1 0.891 0.891 0.328
Tb2 0.109 0.109 0.672
Pm1 0.000 0.000 0.000

5.
# NaYZr | the Alexandria database | GGA-PBE | relaxed
# DOS(E_F)   1.94 states/eV/f.u.
# Mass density   3855 kg/m3
# E   -5.1944 eV/atom
# Space group   No. 107
data_NaYZr
_cell_length_a 3.345
_cell_length_b 3.345
_cell_length_c 8.168
_cell_angle_alpha 78.18
_cell_angle_beta 78.18
_cell_angle_gamma 90.00
_space_group_name_H-M_alt 'P 1'
_space_group_IT_number 1
loop_
_space_group_symop_operation_xyz
'x,y,z'
loop_
_atom_site_label
_atom_site_fract_x
_atom_site_fract_y
_atom_site_fract_z
Y1 0.516 0.516 0.969
Na1 0.206 0.206 0.589
Zr1 0.876 0.876 0.249

6.
# TmThTlAg | the Alexandria database | GGA-PBE | relaxed
# DOS(E_F)   3.28 states/eV/f.u.
# Mass density   11060 kg/m3
# E   -4.4339 eV/atom
# Space group   No. 216
data_TmThTlAg
_cell_length_a 5.330
_cell_length_b 5.330
_cell_length_c 5.330
_cell_angle_alpha 60.00
_cell_angle_beta 60.00
_cell_angle_gamma 60.00
_space_group_name_H-M_alt 'P 1'
_space_group_IT_number 1
loop_
_space_group_symop_operation_xyz
'x,y,z'
loop_
_atom_site_label
_atom_site_fract_x
_atom_site_fract_y
_atom_site_fract_z
Tm1 0.500 0.500 0.500
Tl1 0.750 0.750 0.750
Ag1 0.250 0.250 0.250
Th1 0.000 0.000 0.000

7.
# NaNpTiO5 | the Alexandria database | GGA-PBE | relaxed
# DOS(E_F)   5.79 states/eV/f.u.
# Energy relative to the elements, uncorrected   -2145.4 kJ/mol of formula units
# Mass density   4974 kg/m3
# Space group   No. 15
data_NaNpTiO5
_cell_length_a 6.063
_cell_length_b 6.063
_cell_length_c 8.004
_cell_angle_alpha 107.07
_cell_angle_beta 107.07
_cell_angle_gamma 99.18
_space_group_name_H-M_alt 'P 1'
_space_group_IT_number 1
loop_
_space_group_symop_operation_xyz
'x,y,z'
loop_
_atom_site_label
_atom_site_fract_x
_atom_site_fract_y
_atom_site_fract_z
Na1 0.321 0.679 0.250
O1 0.933 0.067 0.750
O2 0.268 0.340 0.625
Np1 0.000 0.000 0.500
O3 0.729 0.179 0.415
Ti1 0.662 0.338 0.250
O4 0.660 0.732 0.875
Na2 0.679 0.321 0.750
O5 0.732 0.660 0.375
O6 0.271 0.821 0.585
O7 0.340 0.268 0.125
O8 0.821 0.271 0.085
O9 0.067 0.933 0.250
Np2 0.000 0.000 0.000
O10 0.179 0.729 0.915
Ti2 0.338 0.662 0.750

8.
# CaCuCl2 | the Alexandria database | GGA-PBE | relaxed
# DOS(E_F)   0.32 states/eV/f.u.
# Energy relative to the elements, uncorrected   -415.1 kJ/mol of formula units
# Mass density   3365 kg/m3
# Space group   No. 38
data_CaCuCl2
_cell_length_a 6.043
_cell_length_b 6.043
_cell_length_c 3.837
_cell_angle_alpha 90.02
_cell_angle_beta 90.02
_cell_angle_gamma 37.92
_space_group_name_H-M_alt 'P 1'
_space_group_IT_number 1
loop_
_space_group_symop_operation_xyz
'x,y,z'
loop_
_atom_site_label
_atom_site_fract_x
_atom_site_fract_y
_atom_site_fract_z
Cl1 0.285 0.285 0.375
Cl2 0.018 0.018 0.875
Cu1 0.502 0.502 0.375
Ca1 0.695 0.695 0.875

9.
# Pm2Sm8Er | the Alexandria database | GGA-PBE | relaxed
# DOS(E_F)   17.43 states/eV/f.u.
# Mass density   7324 kg/m3
# E   -4.5524 eV/atom
# Space group   No. 12
data_Pm2Sm8Er
_cell_length_a 6.759
_cell_length_b 10.298
_cell_length_c 10.298
_cell_angle_alpha 38.48
_cell_angle_beta 59.56
_cell_angle_gamma 59.56
_space_group_name_H-M_alt 'P 1'
_space_group_IT_number 1
loop_
_space_group_symop_operation_xyz
'x,y,z'
loop_
_atom_site_label
_atom_site_fract_x
_atom_site_fract_y
_atom_site_fract_z
Pm1 0.591 0.803 0.803
Sm1 0.229 0.350 0.824
Sm2 0.269 0.410 0.410
Pm2 0.409 0.197 0.197
Sm3 0.731 0.590 0.590
Sm4 0.176 0.756 0.756
Sm5 0.771 0.650 0.176
Sm6 0.824 0.244 0.244
Er1 0.000 0.000 0.000
Sm7 0.771 0.176 0.650
Sm8 0.229 0.824 0.350

10.
# PaTcSb | the Alexandria database | GGA-PBE | relaxed
# DOS(E_F)   6.62 states/eV/f.u.
# Energy relative to the elements, uncorrected   -66.9 kJ/mol of formula units
# Mass density   10461 kg/m3
# Space group   No. 216
data_PaTcSb
_cell_length_a 4.660
_cell_length_b 4.660
_cell_length_c 4.660
_cell_angle_alpha 60.00
_cell_angle_beta 60.00
_cell_angle_gamma 60.00
_space_group_name_H-M_alt 'P 1'
_space_group_IT_number 1
loop_
_space_group_symop_operation_xyz
'x,y,z'
loop_
_atom_site_label
_atom_site_fract_x
_atom_site_fract_y
_atom_site_fract_z
Tc1 0.250 0.250 0.250
Pa1 0.000 0.000 0.000
Sb1 0.500 0.500 0.500

11.
# NbTcSbTe2 | the Alexandria database | GGA-PBE | relaxed
# DOS(E_F)   6.17 states/eV/f.u.
# Energy relative to the elements, uncorrected   470.0 kJ/mol of formula units
# Mass density   6799 kg/m3
# Space group   No. 123
data_NbTcSbTe2
_cell_length_a 5.254
_cell_length_b 5.254
_cell_length_c 5.023
_cell_angle_alpha 90.00
_cell_angle_beta 90.00
_cell_angle_gamma 90.00
_space_group_name_H-M_alt 'P 1'
_space_group_IT_number 1
loop_
_space_group_symop_operation_xyz
'x,y,z'
loop_
_atom_site_label
_atom_site_fract_x
_atom_site_fract_y
_atom_site_fract_z
Te1 0.500 0.000 0.000
Sb1 0.000 0.000 0.500
Te2 0.000 0.500 0.000
Nb1 0.500 0.500 0.500
Tc1 0.000 0.000 0.000

12.
# Cs2MoSe4 | the Alexandria database | GGA-PBE | relaxed
# Energy relative to the elements, uncorrected   -601.2 kJ/mol of formula units
# Mass density   4109 kg/m3
# Space group   No. 62
data_Cs2MoSe4
_cell_length_a 7.572
_cell_length_b 10.773
_cell_length_c 13.427
_cell_angle_alpha 90.00
_cell_angle_beta 90.00
_cell_angle_gamma 90.00
_space_group_name_H-M_alt 'P 1'
_space_group_IT_number 1
loop_
_space_group_symop_operation_xyz
'x,y,z'
loop_
_atom_site_label
_atom_site_fract_x
_atom_site_fract_y
_atom_site_fract_z
Cs1 0.750 0.152 0.396
Se1 0.000 0.162 0.648
Mo1 0.750 0.747 0.423
Cs2 0.750 0.462 0.663
Se2 0.500 0.838 0.352
Mo2 0.250 0.753 0.923
Se3 0.500 0.662 0.852
Cs3 0.250 0.038 0.163
Cs4 0.250 0.348 0.896
Se4 0.250 0.966 0.891
Se5 0.250 0.714 0.094
Mo3 0.250 0.253 0.577
Se6 0.750 0.034 0.109
Se7 0.750 0.786 0.594
Mo4 0.750 0.247 0.077
Cs5 0.250 0.848 0.604
Se8 0.500 0.338 0.148
Se9 0.000 0.338 0.148
Se10 0.000 0.662 0.852
Cs6 0.750 0.962 0.837
Se11 0.750 0.534 0.391
Se12 0.000 0.838 0.352
Cs7 0.750 0.652 0.104
Se13 0.250 0.214 0.406
Se14 0.250 0.466 0.609
Se15 0.750 0.286 0.906
Cs8 0.250 0.538 0.337
Se16 0.500 0.162 0.648

mass density of number 12 (Cs2MoSe4)? 4109 kg/m3

Look up the mass density of the twelfth one. 4109 kg/m3

Repeat the third record exactly.
# Mg4Al2Cd5 | the Alexandria database | GGA-PBE | relaxed
# DOS(E_F)   3.64 states/eV/f.u.
# Mass density   5037 kg/m3
# E   -1.7049 eV/atom
# Space group   No. 10
data_Mg4Al2Cd5
_cell_length_a 3.165
_cell_length_b 7.557
_cell_length_c 9.849
_cell_angle_alpha 93.54
_cell_angle_beta 90.00
_cell_angle_gamma 90.00
_space_group_name_H-M_alt 'P 1'
_space_group_IT_number 1
loop_
_space_group_symop_operation_xyz
'x,y,z'
loop_
_atom_site_label
_atom_site_fract_x
_atom_site_fract_y
_atom_site_fract_z
Cd1 0.000 0.564 0.303
Al1 0.000 0.937 0.366
Cd2 0.000 0.820 0.841
Cd3 0.000 0.500 0.000
Mg1 0.500 0.829 0.114
Mg2 0.500 0.278 0.440
Mg3 0.500 0.171 0.886
Cd4 0.000 0.436 0.697
Mg4 0.500 0.722 0.560
Al2 0.000 0.063 0.634
Cd5 0.000 0.180 0.159

What is the mass density in the fifth record? 3855 kg/m3